DFT (PBE+U) results for a relaxed structure of NaNd2CrO5.

Results
- crystal system = tetragonal
- DFT total energy (eV/cell) = -130.71
- spin magnetization (μB per cell) = 6.00

Structure (extended XYZ):
```
18
Lattice="6.766 0.000 0.000 0.000 6.766 0.000 0.000 0.000 5.791" Properties=species:S:1:pos:R:3 pbc="T T T"
Na 0.000 0.000 0.000
Na 3.383 3.383 0.000
Nd 1.205 2.178 2.895
Nd 2.178 5.561 2.895
Nd 4.589 1.205 2.895
Nd 5.561 4.589 2.895
Cr 0.000 3.383 0.000
Cr 3.383 0.000 0.000
O 0.000 0.000 2.895
O 0.913 4.296 1.396
O 0.913 4.296 4.395
O 2.470 0.913 1.396
O 2.470 0.913 4.395
O 3.383 3.383 2.895
O 4.296 5.853 1.396
O 4.296 5.853 4.395
O 5.853 2.470 1.396
O 5.853 2.470 4.395
```